A.
Below is crystalline GeSb2TeMo at its relaxed geometry, with properties calculated at the PBE-GGA level.

The structure in POSCAR format:
```
GeSb2TeMo
1.0
5.271 0.000 0.000
0.000 5.271 0.000
0.000 0.000 5.316
Ge Sb Te Mo
1 2 1 1
Direct
0.000 0.000 0.000
0.000 0.500 0.000
0.500 0.000 0.000
0.000 0.000 0.500
0.500 0.500 0.500
```

Space-group type: P4/mmm (123)

***

B.
Below is crystalline GeSb2TeMo at its relaxed geometry, with properties calculated at the PBE-GGA level.

The structure in POSCAR format:
```
GeSb2TeMo
1.0
5.275 0.000 0.000
0.000 5.275 0.000
0.000 0.000 5.226
Ge Sb Te Mo
1 2 1 1
Direct
0.000 0.000 0.000
0.000 0.500 0.500
0.500 0.000 0.500
0.500 0.500 0.000
0.500 0.500 0.500
```

Space-group type: P4/mmm (123)

***

B is favored, and the nearest alternative lies 521 meV/atom above it.